Here is K2HoU3O12 after structural relaxation from the Alexandria database. Energies are from PBE. Values from VASP.

Computed properties:
space-group type = R-3m, No. 166
DOS(E_F) = 16.2 states/eV/f.u.
energy relative to the elements, uncorrected = -2879 meV/atom
DFT total energy = -8.4419 eV per atom

```
&SYSTEM
  ibrav = 0, nat = 18, ntyp = 4
/
ATOMIC_SPECIES
K 39.10 K.upf
Ho 164.93 Ho.upf
U 238.03 U.upf
O 16.00 O.upf
ATOMIC_POSITIONS crystal
K 0.673 0.673 0.673
K 0.327 0.327 0.327
Ho 0.000 0.000 0.000
U 0.500 0.000 0.000
U 0.000 0.500 0.000
U 0.000 0.000 0.500
O 0.309 0.309 0.946
O 0.931 0.931 0.334
O 0.334 0.931 0.931
O 0.946 0.309 0.309
O 0.931 0.334 0.931
O 0.309 0.946 0.309
O 0.691 0.691 0.054
O 0.069 0.069 0.666
O 0.666 0.069 0.069
O 0.054 0.691 0.691
O 0.069 0.666 0.069
O 0.691 0.054 0.691
CELL_PARAMETERS angstrom
7.869 -0.109 -0.077
3.791 6.896 -0.077
3.791 2.207 6.534
```